A geometry-optimized Pr2Er2Th15 structure, computed with PBE-GGA.

Properties
E in eV per atom: -6.576
Energy of formation from the pure elements in eV/atom: 0.27
Symmetry: R-3m (166)
Theoretical density in g cm⁻³: 10.4
Size of the total moment in μB/f.u.: 0.0

a = 8.765 Å, b = 8.765 Å, c = 8.765 Å
α = 82.15°, β = 82.15°, γ = 82.15°
Sites, in units of the cell vectors:
Pr (0.666, 0.666, 0.666)
Pr (0.334, 0.334, 0.334)
Er (0.900, 0.900, 0.900)
Er (0.100, 0.100, 0.100)
Th (0.000, 0.500, 0.000)
Th (0.000, 0.000, 0.500)
Th (0.500, 0.000, 0.000)
Th (0.299, 0.000, 0.701)
Th (0.701, 0.299, 0.000)
Th (0.000, 0.701, 0.299)
Th (0.299, 0.701, 0.000)
Th (0.000, 0.299, 0.701)
Th (0.701, 0.000, 0.299)
Th (0.349, 0.832, 0.349)
Th (0.349, 0.349, 0.832)
Th (0.832, 0.349, 0.349)
Th (0.651, 0.168, 0.651)
Th (0.651, 0.651, 0.168)
Th (0.168, 0.651, 0.651)